Material: KCa2AgW
Method: DFT, GGA-PBEsol
State: relaxed

```
KCa2AgW
1.0
-1.274 4.860 0.837
-5.218 -1.055 -1.816
-1.559 -1.312 5.242
K Ca W Ag
1 2 1 1
direct
0.500 0.500 0.500 K
0.000 0.000 0.500 Ca
0.000 0.500 0.000 Ca
0.000 0.000 0.000 W
0.500 0.000 0.000 Ag
```

Raw total energy (eV/atom): -3.508
M_tot (μB/cell): 0.0
SG: P4/mmm, No. 123
DOS(E_F) (states/eV/atom): 0.838